Entry from Alexandria: a geometry-optimized KDy2PdO5 structure (PBE).

Calculated values
Fermi-level density of states: 0.50 states/eV per atom
SG: I4/mcm
Volume: 257.88 Å³/cell
Energy relative to the elements, uncorrected: -2.163 eV per atom

Cell and atoms, written as CIF:
```
data_KDy2PdO5
_chemical_formula_sum 'K2 Dy4 Pd2 O10'
_symmetry_space_group_name_H-M 'P 1'
_symmetry_Int_Tables_number 1
_cell_length_a 6.558
_cell_length_b 6.558
_cell_length_c 7.580
_cell_angle_alpha 115.63
_cell_angle_beta 115.63
_cell_angle_gamma 90.00
loop_
_symmetry_equiv_pos_as_xyz
'x,y,z'
loop_
_atom_site_label
_atom_site_fract_x
_atom_site_fract_y
_atom_site_fract_z
K1 0.250 0.250 0.500
K2 0.750 0.750 0.500
Dy1 0.174 0.326 0.000
Dy2 0.674 0.174 0.000
Dy3 0.326 0.826 0.000
Dy4 0.826 0.674 0.000
Pd1 0.250 0.750 0.500
Pd2 0.750 0.250 0.500
O1 0.982 0.482 0.231
O2 0.751 0.251 0.769
O3 0.018 0.518 0.769
O4 0.251 0.018 0.769
O5 0.518 0.751 0.769
O6 0.749 0.982 0.231
O7 0.482 0.249 0.231
O8 0.249 0.749 0.231
O9 0.500 0.500 0.000
O10 0.000 0.000 0.000
```

---

Entry from Alexandria: a geometry-optimized KDyPdO3 structure (PBE).

Calculated values
SG: Cmcm
Volume: 226.59 Å³/cell
Energy relative to the elements, uncorrected: -1.831 eV per atom

Cell and atoms, written as CIF:
```
data_KDyPdO3
_chemical_formula_sum 'K2 Dy2 Pd2 O6'
_symmetry_space_group_name_H-M 'P 1'
_symmetry_Int_Tables_number 1
_cell_length_a 3.826
_cell_length_b 7.314
_cell_length_c 8.388
_cell_angle_alpha 90.00
_cell_angle_beta 90.00
_cell_angle_gamma 105.16
loop_
_symmetry_equiv_pos_as_xyz
'x,y,z'
loop_
_atom_site_label
_atom_site_fract_x
_atom_site_fract_y
_atom_site_fract_z
K1 0.717 0.434 0.750
K2 0.283 0.566 0.250
Dy1 0.000 0.000 0.500
Dy2 0.000 0.000 0.000
Pd1 0.402 0.805 0.750
Pd2 0.598 0.195 0.250
O1 0.600 0.200 0.501
O2 0.400 0.800 0.499
O3 0.400 0.800 0.001
O4 0.600 0.200 0.999
O5 0.941 0.882 0.750
O6 0.059 0.118 0.250
```

---

Entry from Alexandria: a geometry-optimized K2DyPdO4 structure (PBE).

Calculated values
Fermi-level density of states: 0.02 states/eV per atom
SG: P2/m
Volume: 123.31 Å³/cell
Energy relative to the elements, uncorrected: -1.711 eV per atom

Cell and atoms, written as CIF:
```
data_K2DyPdO4
_chemical_formula_sum 'K2 Dy1 Pd1 O4'
_symmetry_space_group_name_H-M 'P 1'
_symmetry_Int_Tables_number 1
_cell_length_a 3.331
_cell_length_b 5.934
_cell_length_c 6.640
_cell_angle_alpha 110.00
_cell_angle_beta 90.00
_cell_angle_gamma 90.00
loop_
_symmetry_equiv_pos_as_xyz
'x,y,z'
loop_
_atom_site_label
_atom_site_fract_x
_atom_site_fract_y
_atom_site_fract_z
K1 0.500 0.000 0.500
K2 0.000 0.500 0.500
Dy1 0.500 0.500 0.000
Pd1 0.000 0.000 0.000
O1 0.500 0.206 0.168
O2 0.500 0.794 0.832
O3 0.000 0.291 0.789
O4 0.000 0.709 0.211
```

---

Entry from Alexandria: a geometry-optimized K3Dy3PdO8 structure (PBE).

Calculated values
SG: R-3m
Volume: 250.15 Å³/cell
Energy relative to the elements, uncorrected: -2.298 eV per atom

Cell and atoms, written as CIF:
```
data_K3Dy3PdO8
_chemical_formula_sum 'K3 Dy3 Pd1 O8'
_symmetry_space_group_name_H-M 'P 1'
_symmetry_Int_Tables_number 1
_cell_length_a 6.783
_cell_length_b 6.783
_cell_length_c 7.400
_cell_angle_alpha 117.29
_cell_angle_beta 90.00
_cell_angle_gamma 120.00
loop_
_symmetry_equiv_pos_as_xyz
'x,y,z'
loop_
_atom_site_label
_atom_site_fract_x
_atom_site_fract_y
_atom_site_fract_z
K1 0.000 0.000 0.000
K2 0.000 0.500 0.000
K3 0.500 0.500 0.000
Dy1 0.500 0.000 0.500
Dy2 0.500 0.500 0.500
Dy3 0.000 0.500 0.500
Pd1 0.000 0.000 0.500
O1 0.273 0.545 0.318
O2 0.727 0.455 0.682
O3 0.787 0.574 0.324
O4 0.213 0.426 0.676
O5 0.787 0.037 0.324
O6 0.213 0.963 0.676
O7 0.251 0.037 0.324
O8 0.749 0.963 0.676
```

---

Entry from Alexandria: a geometry-optimized K2PmDyO4 structure (PBE).

Calculated values
Fermi-level density of states: 0.00 states/eV per atom
SG: P2/m
Volume: 136.97 Å³/cell
Energy relative to the elements, uncorrected: -2.701 eV per atom

Cell and atoms, written as CIF:
```
data_K2PmDyO4
_chemical_formula_sum 'K2 Pm1 Dy1 O4'
_symmetry_space_group_name_H-M 'P 1'
_symmetry_Int_Tables_number 1
_cell_length_a 3.548
_cell_length_b 6.145
_cell_length_c 6.607
_cell_angle_alpha 108.04
_cell_angle_beta 90.00
_cell_angle_gamma 90.00
loop_
_symmetry_equiv_pos_as_xyz
'x,y,z'
loop_
_atom_site_label
_atom_site_fract_x
_atom_site_fract_y
_atom_site_fract_z
K1 0.500 0.000 0.500
K2 0.000 0.500 0.500
Pm1 0.500 0.500 0.000
Dy1 0.000 0.000 0.000
O1 0.500 0.222 0.187
O2 0.500 0.778 0.813
O3 0.000 0.263 0.812
O4 0.000 0.737 0.188
```

---

Entry from Alexandria: a geometry-optimized K3Pr2DyO6 structure (PBE).

Calculated values
Fermi-level density of states: 0.00 states/eV per atom
SG: C2/m
Volume: 214.04 Å³/cell
Energy relative to the elements, uncorrected: -2.633 eV per atom

Cell and atoms, written as CIF:
```
data_K3Pr2DyO6
_chemical_formula_sum 'K3 Pr2 Dy1 O6'
_symmetry_space_group_name_H-M 'P 1'
_symmetry_Int_Tables_number 1
_cell_length_a 6.261
_cell_length_b 6.261
_cell_length_c 6.641
_cell_angle_alpha 99.04
_cell_angle_beta 99.04
_cell_angle_gamma 120.01
loop_
_symmetry_equiv_pos_as_xyz
'x,y,z'
loop_
_atom_site_label
_atom_site_fract_x
_atom_site_fract_y
_atom_site_fract_z
K1 0.164 0.836 0.500
K2 0.836 0.164 0.500
K3 0.500 0.500 0.500
Pr1 0.333 0.667 0.000
Pr2 0.667 0.333 0.000
Dy1 0.000 0.000 0.000
O1 0.937 0.615 0.810
O2 0.742 0.742 0.189
O3 0.063 0.385 0.190
O4 0.615 0.937 0.810
O5 0.258 0.258 0.811
O6 0.385 0.063 0.190
```

---

Entry from Alexandria: a geometry-optimized K2PrDyO4 structure (PBE).

Calculated values
Fermi-level density of states: 0.00 states/eV per atom
SG: P2/m
Volume: 139.96 Å³/cell
Energy relative to the elements, uncorrected: -2.659 eV per atom

Cell and atoms, written as CIF:
```
data_K2PrDyO4
_chemical_formula_sum 'K2 Pr1 Dy1 O4'
_symmetry_space_group_name_H-M 'P 1'
_symmetry_Int_Tables_number 1
_cell_length_a 3.583
_cell_length_b 6.205
_cell_length_c 6.624
_cell_angle_alpha 108.14
_cell_angle_beta 90.00
_cell_angle_gamma 90.00
loop_
_symmetry_equiv_pos_as_xyz
'x,y,z'
loop_
_atom_site_label
_atom_site_fract_x
_atom_site_fract_y
_atom_site_fract_z
K1 0.500 0.000 0.500
K2 0.000 0.500 0.500
Pr1 0.000 0.000 0.000
Dy1 0.500 0.500 0.000
O1 0.500 0.241 0.190
O2 0.500 0.759 0.810
O3 0.000 0.281 0.813
O4 0.000 0.719 0.187
```

---

Entry from Alexandria: a geometry-optimized K3Dy2PtO6 structure (PBE).

Calculated values
SG: C2/m
Volume: 187.83 Å³/cell
Energy relative to the elements, uncorrected: -2.033 eV per atom

Cell and atoms, written as CIF:
```
data_K3Dy2PtO6
_chemical_formula_sum 'K3 Dy2 Pt1 O6'
_symmetry_space_group_name_H-M 'P 1'
_symmetry_Int_Tables_number 1
_cell_length_a 5.922
_cell_length_b 5.922
_cell_length_c 6.497
_cell_angle_alpha 98.18
_cell_angle_beta 98.18
_cell_angle_gamma 120.63
loop_
_symmetry_equiv_pos_as_xyz
'x,y,z'
loop_
_atom_site_label
_atom_site_fract_x
_atom_site_fract_y
_atom_site_fract_z
K1 0.159 0.841 0.500
K2 0.841 0.159 0.500
K3 0.500 0.500 0.500
Dy1 0.330 0.670 0.000
Dy2 0.670 0.330 0.000
Pt1 0.000 0.000 0.000
O1 0.935 0.595 0.803
O2 0.745 0.745 0.175
O3 0.065 0.405 0.197
O4 0.595 0.935 0.803
O5 0.255 0.255 0.825
O6 0.405 0.065 0.197
```

---

Entry from Alexandria: a geometry-optimized KDyPtO4 structure (PBE).

Calculated values
SG: Imma
Volume: 219.94 Å³/cell
Energy relative to the elements, uncorrected: -1.769 eV per atom

Cell and atoms, written as CIF:
```
data_KDyPtO4
_chemical_formula_sum 'K2 Dy2 Pt2 O8'
_symmetry_space_group_name_H-M 'P 1'
_symmetry_Int_Tables_number 1
_cell_length_a 6.615
_cell_length_b 6.738
_cell_length_c 7.126
_cell_angle_alpha 121.92
_cell_angle_beta 90.00
_cell_angle_gamma 119.40
loop_
_symmetry_equiv_pos_as_xyz
'x,y,z'
loop_
_atom_site_label
_atom_site_fract_x
_atom_site_fract_y
_atom_site_fract_z
K1 0.867 0.735 0.117
K2 0.133 0.265 0.883
Dy1 0.500 0.000 0.500
Dy2 0.500 0.000 0.000
Pt1 0.500 0.500 0.500
Pt2 0.000 0.500 0.500
O1 0.746 0.491 0.676
O2 0.315 0.055 0.277
O3 0.739 0.055 0.277
O4 0.746 0.491 0.316
O5 0.254 0.509 0.684
O6 0.685 0.945 0.723
O7 0.261 0.945 0.723
O8 0.254 0.509 0.324
```

---

Entry from Alexandria: a geometry-optimized K4Dy3PtO8 structure (PBE).

Calculated values
SG: C2/m
Volume: 255.75 Å³/cell
Energy relative to the elements, uncorrected: -2.226 eV per atom

Cell and atoms, written as CIF:
```
data_K4Dy3PtO8
_chemical_formula_sum 'K4 Dy3 Pt1 O8'
_symmetry_space_group_name_H-M 'P 1'
_symmetry_Int_Tables_number 1
_cell_length_a 6.759
_cell_length_b 7.336
_cell_length_c 6.927
_cell_angle_alpha 117.10
_cell_angle_beta 119.20
_cell_angle_gamma 90.00
loop_
_symmetry_equiv_pos_as_xyz
'x,y,z'
loop_
_atom_site_label
_atom_site_fract_x
_atom_site_fract_y
_atom_site_fract_z
K1 0.500 0.000 0.000
K2 0.500 0.000 0.500
K3 0.000 0.000 0.000
K4 0.000 0.000 0.500
Dy1 0.500 0.500 0.000
Dy2 0.500 0.500 0.500
Dy3 0.000 0.500 0.500
Pt1 0.000 0.500 0.000
O1 0.211 0.677 0.955
O2 0.258 0.713 0.515
O3 0.277 0.315 0.553
O4 0.744 0.677 0.955
O5 0.256 0.323 0.045
O6 0.723 0.685 0.447
O7 0.742 0.287 0.485
O8 0.789 0.323 0.045
```

---

Entry from Alexandria: a geometry-optimized KDyPtO3 structure (PBE).

Calculated values
Fermi-level density of states: 0.53 states/eV per atom
SG: P2_1/m
Volume: 220.89 Å³/cell
Energy relative to the elements, uncorrected: -1.757 eV per atom

Cell and atoms, written as CIF:
```
data_KDyPtO3
_chemical_formula_sum 'K2 Dy2 Pt2 O6'
_symmetry_space_group_name_H-M 'P 1'
_symmetry_Int_Tables_number 1
_cell_length_a 3.402
_cell_length_b 7.495
_cell_length_c 8.766
_cell_angle_alpha 98.80
_cell_angle_beta 90.00
_cell_angle_gamma 90.00
loop_
_symmetry_equiv_pos_as_xyz
'x,y,z'
loop_
_atom_site_label
_atom_site_fract_x
_atom_site_fract_y
_atom_site_fract_z
K1 0.750 0.843 0.814
K2 0.250 0.157 0.186
Dy1 0.250 0.630 0.145
Dy2 0.750 0.370 0.855
Pt1 0.250 0.104 0.579
Pt2 0.750 0.896 0.421
O1 0.250 0.737 0.409
O2 0.750 0.842 0.167
O3 0.750 0.428 0.115
O4 0.750 0.263 0.591
O5 0.250 0.572 0.885
O6 0.250 0.158 0.833
```

---

Entry from Alexandria: a geometry-optimized K2DyPtO6 structure (PBE).

Calculated values
Fermi-level density of states: 0.87 states/eV per atom
SG: Fm-3m
Volume: 146.85 Å³/cell
Energy relative to the elements, uncorrected: -1.477 eV per atom

Cell and atoms, written as CIF:
```
data_K2DyPtO6
_chemical_formula_sum 'K2 Dy1 Pt1 O6'
_symmetry_space_group_name_H-M 'P 1'
_symmetry_Int_Tables_number 1
_cell_length_a 5.922
_cell_length_b 5.922
_cell_length_c 5.922
_cell_angle_alpha 60.00
_cell_angle_beta 60.00
_cell_angle_gamma 60.00
loop_
_symmetry_equiv_pos_as_xyz
'x,y,z'
loop_
_atom_site_label
_atom_site_fract_x
_atom_site_fract_y
_atom_site_fract_z
K1 0.750 0.750 0.750
K2 0.250 0.250 0.250
Dy1 0.500 0.500 0.500
Pt1 0.000 0.000 0.000
O1 0.233 0.767 0.767
O2 0.233 0.767 0.233
O3 0.233 0.233 0.767
O4 0.767 0.767 0.233
O5 0.767 0.233 0.233
O6 0.767 0.233 0.767
```